1.
# AlGeBi3

A geometry-optimized AlGeBi3 structure (GGA-PBE, Alexandria).

Geometry as POSCAR:
```
AlGeBi3
1.0
-1.926 4.979 1.000
-3.413 -2.061 3.688
3.761 0.679 3.860
Bi Ge Al
3 1 1
Cartesian
-0.963 2.490 0.500
-1.707 -1.031 1.844
1.880 0.340 1.930
-0.790 1.799 4.274
0.000 0.000 0.000
```

Summary:
- magnetic moment (μB/f.u.) = 0.0
- formation enthalpy at 0 K (meV per atom) = 651
- E above lowest polymorph (kJ/mol of atoms) = 0.0
- N(E_F) (states/eV/f.u.) = 3.815

2.
# YTiBr2

A geometry-optimized YTiBr2 structure (GGA-PBE, Alexandria).

Geometry as POSCAR:
```
YTiBr2
1.0
-4.750 -0.920 -0.463
0.706 -1.321 -4.624
-0.639 -9.582 0.085
Ti Br Y
2 4 2
Cartesian
-2.022 -1.121 -2.543
-0.978 -6.012 -3.541
-4.030 -9.124 -4.308
-0.394 -3.352 -2.935
-2.959 -3.120 -0.838
-1.984 -8.049 -1.923
0.000 0.000 0.000
-3.706 -5.811 -1.460
```

Summary:
- magnetic moment (μB/f.u.) = 2.9
- E above lowest polymorph (kJ/mol of atoms) = 13.9
- N(E_F) (states/eV/f.u.) = 2.957
- formation energy from raw total energies (eV per atom) = -0.428

3.
# RbBaSe2Br

A geometry-optimized RbBaSe2Br structure (GGA-PBE, Alexandria).

Geometry as POSCAR:
```
RbBaSe2Br
1.0
-3.694 0.787 -5.052
2.503 -5.156 -2.634
-4.489 -3.572 2.726
Se Ba Rb Br
2 1 1 1
Cartesian
1.252 -2.578 -1.317
-1.847 0.394 -2.526
0.000 0.000 0.000
-2.840 -3.970 -2.480
-2.245 -1.786 1.363
```

Summary:
- magnetic moment (μB/f.u.) = 2.0
- E above lowest polymorph (kJ/mol of atoms) = 0.0
- N(E_F) (states/eV/f.u.) = 8.721
- formation energy from raw total energies (eV per atom) = -0.937

4.
# TaV2Br6

A geometry-optimized TaV2Br6 structure (GGA-PBE, Alexandria).

Geometry as POSCAR:
```
TaV2Br6
1.0
5.743 0.106 0.102
1.897 8.878 -0.661
1.897 -0.373 8.895
Br V Ta
12 4 2
Cartesian
2.326 0.503 5.909
4.343 6.554 7.762
2.323 0.587 1.985
7.527 4.335 5.968
4.883 2.558 4.248
4.655 6.053 4.088
4.340 2.635 7.973
7.215 8.023 6.351
2.011 4.276 2.368
5.198 5.975 0.363
5.195 2.056 0.574
7.212 8.107 2.427
5.024 4.221 2.234
2.152 2.317 4.095
7.386 6.294 4.241
4.514 4.389 6.102
3.333 0.159 8.398
6.205 8.451 -0.062
```

Summary:
- magnetic moment (μB/f.u.) = 6.2
- N(E_F) (states/eV/f.u.) = 3.148
- formation energy from raw total energies (eV per atom) = -0.462

5.
# InPd4Au8

A geometry-optimized InPd4Au8 structure (GGA-PBE, Alexandria).

Geometry as POSCAR:
```
InPd4Au8
1.0
4.634 0.000 0.000
0.000 3.044 0.000
0.000 0.000 16.547
Pd Au In
4 8 1
Cartesian
2.317 0.000 14.965
0.000 1.522 10.465
4.634 0.000 0.800
2.317 1.522 6.554
0.000 1.522 15.101
0.000 0.000 8.148
0.000 1.522 3.075
2.317 1.522 0.935
4.634 0.000 12.781
2.317 0.000 3.805
2.317 0.000 9.777
2.317 1.522 12.369
4.634 0.000 5.520
```

Summary:
- magnetic moment (μB/f.u.) = 0.0
- formation enthalpy at 0 K (meV per atom) = -31
- N(E_F) (states/eV/f.u.) = 5.506

6.
# Ca2HoCd2Pd5

A geometry-optimized Ca2HoCd2Pd5 structure (GGA-PBE, Alexandria).

Geometry as POSCAR:
```
Ca2HoCd2Pd5
1.0
3.839 0.000 0.000
0.000 10.483 0.000
0.000 0.000 10.483
Ca Pd Cd Ho
4 10 4 2
Cartesian
0.000 8.700 7.024
0.000 1.783 3.459
0.000 3.459 8.700
0.000 7.024 1.783
1.919 5.241 0.000
1.919 5.854 7.307
1.919 4.629 3.176
1.919 9.870 2.066
1.919 3.176 5.854
1.919 7.307 4.629
1.919 0.000 5.241
1.919 0.613 8.417
1.919 2.066 0.613
1.919 8.417 9.870
0.000 9.132 3.890
0.000 6.592 9.132
0.000 1.351 6.592
0.000 3.890 1.351
0.000 0.000 0.000
0.000 5.241 5.241
```

Summary:
- magnetic moment (μB/f.u.) = 0.0
- formation enthalpy at 0 K (meV per atom) = -583
- N(E_F) (states/eV/f.u.) = 3.803

7.
# RbFeB2Br

A geometry-optimized RbFeB2Br structure (GGA-PBE, Alexandria).

Geometry as POSCAR:
```
RbFeB2Br
1.0
-1.056 -4.582 1.837
5.438 -0.232 2.549
-1.872 2.110 4.186
B Rb Br Fe
2 1 1 1
Cartesian
-0.936 1.055 2.093
-0.528 -2.291 0.918
2.719 -0.116 1.274
0.000 0.000 0.000
1.255 -1.352 4.286
```

Summary:
- magnetic moment (μB/f.u.) = 2.5
- N(E_F) (states/eV/f.u.) = 6.457
- formation energy from raw total energies (eV per atom) = 2.321

8.
# SrBiF

A geometry-optimized SrBiF structure (GGA-PBE, Alexandria).

Geometry as POSCAR:
```
SrBiF
1.0
-1.250 3.968 -1.000
-2.510 -2.490 2.409
4.689 3.664 8.675
F Sr Bi
2 2 2
Cartesian
2.661 5.200 8.149
-1.733 -0.058 1.934
-0.916 2.404 1.531
1.845 2.737 8.553
1.097 3.977 5.254
-0.168 1.165 4.829
```

Summary:
- magnetic moment (μB/f.u.) = 0.0
- E above lowest polymorph (kJ/mol of atoms) = 3.3
- N(E_F) (states/eV/f.u.) = 0.648
- formation energy from raw total energies (eV per atom) = -1.967